# MnSnB2O6, PBEsol geometry, DFT meta-GGA SCAN
data_MnSnB2O6
_chemical_formula_sum 'Mn3 Sn3 B6 O18'
_cell_length_a 4.7808
_cell_length_b 4.7808
_cell_length_c 15.2222
_cell_angle_alpha 90.00
_cell_angle_beta 90.00
_cell_angle_gamma 120.00
_symmetry_space_group_name_H-M 'R -3'
_symmetry_Int_Tables_number 148
_symmetry_space_group_name_Hall '-R 3'
loop_
_atom_site_label
_atom_site_fract_x
_atom_site_fract_y
_atom_site_fract_z
Mn1 0.0000 0.0000 0.0000
Sn1 0.0000 0.0000 0.5000
B1 0.0000 0.0000 0.2457
O1 0.0078 0.7146 0.2467
# uncorrected formation energy: -2.10 eV per atom
# V: 301 Å³/cell